Below is a relaxed structure of LiTl3Bi, with properties calculated at the PBE level.

abc: 5.2622 5.2622 5.2622
angles: 90.00 90.00 90.00
Last column: nearest neighbours and their distance in Å.
Atoms (fractional coordinates):
Li1 0.0000 0.0000 0.0000  6 Tl 2.63
Tl1 0.0000 0.0000 0.5000  2 Li 2.63
Tl2 0.0000 0.5000 0.0000  2 Li 2.63
Tl3 0.5000 0.0000 0.0000  2 Li 2.63
Bi1 0.5000 0.5000 0.5000  12 Tl 3.72

## Properties
Its formation enthalpy at 0 K is 89 meV/atom. The calculation puts the energy above the most stable polymorph in this dataset at 150 meV per atom. The calculation puts the electronic total energy at -12.45 eV for the cell shown.